Entry from the Alexandria database: a geometry-optimized Dy2PuZrAs4 structure (PBE).

Computed properties:
The energy relative to the elements comes out at -1.31 eV per atom.

```
Dy2PuZrAs4
1.0
7.010 0.000 0.000
0.000 4.052 0.000
-2.313 0.000 6.621
Dy Pu Zr As
2 1 1 4
direct
0.000 0.000 0.000
0.500 0.500 0.000
0.000 0.500 0.500
0.500 0.000 0.500
0.255 0.000 0.744
0.260 0.500 0.260
0.740 0.500 0.740
0.745 0.000 0.256
```

---

Entry from the Alexandria database: a geometry-optimized Rb2DyAsS4 structure (PBE).

Computed properties:
The calculation puts the total DFT energy (no corrections) at -71.40 eV per cell.

```
Rb2DyAsS4
1.0
0.000 7.222 12.189
3.334 0.000 12.189
3.334 7.222 0.000
Rb Dy As S
4 2 2 8
direct
0.058 0.058 0.692
0.308 0.308 0.942
0.692 0.692 0.058
0.942 0.942 0.308
0.125 0.125 0.125
0.875 0.875 0.875
0.375 0.375 0.375
0.625 0.625 0.625
0.016 0.337 0.432
0.285 0.568 0.663
0.337 0.016 0.715
0.432 0.715 0.016
0.568 0.285 0.984
0.663 0.984 0.285
0.715 0.432 0.337
0.984 0.663 0.568
```

---

no.,magnetization (μB/atom)
1,0.653
2,0.000